DFT (GGA-PBE) results for a relaxed YTcP2I crystal.

ΔE to the lowest computed polymorph	9.62	eV/f.u.
crystal system	tetragonal
DOS at the Fermi energy	0.773	states/eV/atom
E	-21.10	eV for the cell shown
uncorrected formation energy	1.621	eV/atom
V	146.4	Å³/cell

abc: 5.1287 5.1287 5.5660
angles: 90.00 90.00 90.00
Space group P4/mmm (No. 123)
Unique sites:
Y 0.0000 0.0000 0.0000 [1 per cell]
Tc 0.5000 0.5000 0.0000 [1 per cell]
P 0.0000 0.5000 0.5000 [2 per cell]
I 0.0000 0.0000 0.5000 [1 per cell]